Below is Rb2PS4 after structural relaxation, with properties calculated at the PBE-GGA level.

Cell and atoms, written as POSCAR:
```
Rb2PS4
1.0
7.2432 0.0000 0.4107
0.0000 5.6422 0.0000
-2.1079 0.0000 11.5886
Rb P S
4 2 8
Cartesian
5.3120 4.2316 1.3076
-0.1767 1.4105 10.6917
0.7207 1.4105 5.5805
4.4146 4.2316 6.4188
1.7268 4.2316 2.8852
3.4085 1.4105 9.1141
3.0626 2.7775 3.5727
1.5402 4.2316 0.8869
3.5951 1.4105 11.1124
3.0626 0.0436 3.5727
5.1893 1.4105 8.1461
2.0727 5.5986 8.4266
2.0727 2.8647 8.4266
-0.0540 4.2316 3.8532
```

Properties
ΔE_f (raw), eV/atom: -0.77
E above lowest polymorph, meV per atom: 0
Total DFT energy (no corrections), eV per atom: -4.175
SG: P2_1/m (11)